Al2InSb3 after structural relaxation. Source: the Alexandria database, functional PBE.

The formation energy from raw total energies is -0.1476 eV/atom. The value obtained for the magnetization is 0.000 μB per atom.

Cell lengths 7.781, 13.489, 7.779 Å; angles 90.00, 109.41, 90.00 degrees
Space group Cc (No. 9)
Symmetry-distinct sites (fractional):
1 Al 0.000 0.083 0.000 [4 per cell]
2 Al 0.000 0.247 0.499 [4 per cell]
3 In 0.001 0.414 0.999 [4 per cell]
4 Sb 0.366 0.091 0.112 [4 per cell]
5 Sb 0.369 0.258 0.630 [4 per cell]
6 Sb 0.390 0.418 0.131 [4 per cell]

=====

AlInSb2 after structural relaxation. Source: the Alexandria database, functional PBE.

The formation energy from raw total energies is 0.0252 eV/atom. As for the density of states at the Fermi level: 4.3 states/eV per cell. The value obtained for the magnetization is 0.000 μB per atom.

Cell lengths 7.176, 4.145, 7.519 Å; angles 90.00, 108.68, 90.00 degrees
Space group C2/m (No. 12)
Symmetry-distinct sites (fractional):
1 Al 0.000 0.000 0.000 [2 per cell]
2 In 0.000 0.500 0.500 [2 per cell]
3 Sb 0.241 0.500 0.222 [4 per cell]

=====

Al2InSb2 after structural relaxation. Source: the Alexandria database, functional PBE.

The formation energy from raw total energies is 0.1125 eV/atom. As for the density of states at the Fermi level: 5.9 states/eV per cell. The value obtained for the magnetization is 0.000 μB per atom.

Cell lengths 7.949, 7.949, 3.775 Å; angles 90.00, 90.00, 90.00 degrees
Space group P4/mbm (No. 127)
Symmetry-distinct sites (fractional):
1 Al 0.128 0.372 0.000 [4 per cell]
2 In 0.000 0.000 0.000 [2 per cell]
3 Sb 0.163 0.663 0.500 [4 per cell]

=====

AlIn3Sb after structural relaxation. Source: the Alexandria database, functional PBE.

The formation energy from raw total energies is 0.3246 eV/atom. As for the density of states at the Fermi level: 3.2 states/eV per cell. The value obtained for the magnetization is 0.000 μB per atom.

Cell lengths 5.317, 5.317, 5.317 Å; angles 90.00, 90.00, 90.00 degrees
Space group Pm-3m (No. 221)
Symmetry-distinct sites (fractional):
1 Al 0.000 0.000 0.000 [1 per cell]
2 In 0.000 0.000 0.500 [3 per cell]
3 Sb 0.500 0.500 0.500 [1 per cell]

=====

Look up the formation energy from raw total energies of the first one. -0.1476 eV/atom

=====

Look up the formation energy from raw total energies of the first one. -0.1476 eV/atom

=====

Which value of formation energy from raw total energies does entry 3 give? 0.1125 eV/atom